# 1
Here is a relaxed structure of Li4Al2Ga5 from Alexandria. Energies are from PBE.

Space-group type: P2/m (10)
DFT total energy in Ry per atom: -0.215
ΔE to the lowest computed polymorph in meV per atom: 0
ΔH_f (0 K) in meV per atom: -177
DOS(E_F) in states/eV/cell: 3.7

abc: 2.8858 6.9821 9.2344
angles: 94.27 90.00 90.00
Closest atoms and distances in Å follow each position.
Fractional positions:
1 Li 0.5000 0.8305 0.1003  8 Ga 2.82-3.03, 2 Al 2.86, 3 Li 2.89-3.11
2 Li 0.5000 0.2966 0.4421  6 Ga 2.81-2.98, 3 Li 2.89-2.96, 4 Al 2.92-2.93
3 Li 0.5000 0.7034 0.5579  6 Ga 2.81-2.98, 3 Li 2.89-2.96, 4 Al 2.92-2.93
4 Li 0.5000 0.1695 0.8997  8 Ga 2.82-3.03, 2 Al 2.86, 3 Li 2.89-3.11
5 Ga 0.0000 0.1949 0.1647  1 Al 2.63, 4 Ga 2.71-2.89, 2 Li 2.84
6 Ga 0.0000 0.5000 0.0000  6 Ga 2.71-2.89, 4 Li 2.82
7 Ga 0.0000 0.5666 0.2947  1 Al 2.64, 4 Ga 2.73-2.89, 4 Li 2.81-2.92
8 Ga 0.0000 0.4334 0.7053  1 Al 2.64, 4 Ga 2.73-2.89, 4 Li 2.81-2.92
9 Ga 0.0000 0.8051 0.8353  1 Al 2.63, 4 Ga 2.71-2.89, 2 Li 2.84
10 Al 0.0000 0.9410 0.3610  2 Ga 2.63-2.64, 3 Al 2.64-2.89, 6 Li 2.86-2.93
11 Al 0.0000 0.0590 0.6390  2 Ga 2.63-2.64, 3 Al 2.64-2.89, 6 Li 2.86-2.93



# 2
Here is a relaxed structure of LiHfV2 from Alexandria. Energies are from PBE.

Space-group type: I-42d (122)
DFT total energy in Ry per atom: -0.501
ΔE to the lowest computed polymorph in meV per atom: 134
ΔH_f (0 K) in meV per atom: 714
DOS(E_F) in states/eV/cell: 8.8

abc: 7.0262 7.0262 5.6029
angles: 51.17 51.17 90.00
Closest atoms and distances in Å follow each position.
Fractional positions:
1 Li 0.2500 0.7500 0.5000  4 V 2.44, 2 Hf 2.59
2 Li 0.5000 0.5000 0.0000  4 V 2.44, 2 Hf 2.59
3 V 0.1521 0.6250 0.2500  2 Li 2.44, 2 V 2.62, 2 Hf 2.70
4 V 0.3750 0.4021 0.7500  2 Li 2.44, 2 V 2.62, 2 Hf 2.70
5 V 0.5979 0.1250 0.2500  2 Li 2.44, 2 V 2.62, 2 Hf 2.70
6 V 0.8750 0.8479 0.7500  2 Li 2.44, 2 V 2.62, 2 Hf 2.70
7 Hf 0.0000 0.0000 0.0000  2 Li 2.59, 4 V 2.70
8 Hf 0.7500 0.2500 0.5000  2 Li 2.59, 4 V 2.70